Density functional theory data (PBE) for crystalline CaYPdAu at its relaxed geometry.

Lattice parameters (Å, degrees): 3.8654 4.5138 5.8192 90.00 109.40 90.00
Element x y z (fractional)
Ca1 0.1419 0.0000 0.2838
Y1 0.8631 0.5000 0.7263
Au1 0.5815 0.5000 0.1631
Pd1 0.4134 0.0000 0.8269

Uncorrected energy (Ry/atom): -0.371
Volume (Å³ per cell): 95.8
ΔE_f (eV/atom): -0.816

---

Density functional theory data (PBE) for crystalline CaZn4Pd2Au at its relaxed geometry.

Lattice parameters (Å, degrees): 4.5645 4.5645 7.8446 73.09 73.09 60.00
Element x y z (fractional)
Zn1 0.1360 0.1360 0.5921
Zn2 0.6170 0.6170 0.1491
Zn3 0.8640 0.8640 0.4079
Zn4 0.3830 0.3830 0.8509
Pd1 0.2563 0.2563 0.2312
Pd2 0.7437 0.7437 0.7688
Au1 0.5000 0.5000 0.5000
Ca1 0.0000 0.0000 0.0000

Uncorrected energy (Ry/atom): -0.218
Volume (Å³ per cell): 133.3
ΔE_f (eV/atom): -0.368

---

Density functional theory data (PBE) for crystalline Ca2Zn2Pd5Au at its relaxed geometry.

Lattice parameters (Å, degrees): 3.8317 9.6839 9.6839 90.00 90.00 90.00
Element x y z (fractional)
Au1 0.0000 0.0000 0.0000
Au2 0.0000 0.5000 0.5000
Zn1 0.0000 0.1214 0.6214
Zn2 0.0000 0.8786 0.3786
Zn3 0.0000 0.3786 0.1214
Zn4 0.0000 0.6214 0.8786
Pd1 0.5000 0.4336 0.2931
Pd2 0.5000 0.2069 0.0664
Pd3 0.5000 0.2931 0.5664
Pd4 0.5000 0.0000 0.5000
Pd5 0.5000 0.0664 0.7931
Pd6 0.5000 0.5000 0.0000
Pd7 0.5000 0.9336 0.2069
Pd8 0.5000 0.5664 0.7069
Pd9 0.5000 0.7931 0.9336
Pd10 0.5000 0.7069 0.4336
Ca1 0.0000 0.6777 0.1777
Ca2 0.0000 0.1777 0.3223
Ca3 0.0000 0.8223 0.6777
Ca4 0.0000 0.3223 0.8223

Uncorrected energy (Ry/atom): -0.306
Volume (Å³ per cell): 359.3
ΔE_f (eV/atom): -0.581

---

Density functional theory data (PBE) for crystalline Ca2Zn3PdAu12 at its relaxed geometry.

Lattice parameters (Å, degrees): 8.1031 8.1031 8.1031 64.00 64.00 64.00
Element x y z (fractional)
Au1 0.8873 0.3676 0.3676
Au2 0.3837 0.8607 0.8607
Au3 0.1393 0.6163 0.1393
Au4 0.3676 0.8873 0.3676
Au5 0.6324 0.6324 0.1127
Au6 0.8607 0.3837 0.8607
Au7 0.1127 0.6324 0.6324
Au8 0.6163 0.1393 0.1393
Au9 0.6324 0.1127 0.6324
Au10 0.1393 0.1393 0.6163
Au11 0.3676 0.3676 0.8873
Au12 0.8607 0.8607 0.3837
Ca1 0.6103 0.6103 0.6103
Ca2 0.3897 0.3897 0.3897
Pd1 0.0000 0.0000 0.0000
Zn1 0.0000 0.0000 0.5000
Zn2 0.0000 0.5000 0.0000
Zn3 0.5000 0.0000 0.0000

Uncorrected energy (Ry/atom): -0.218
Volume (Å³ per cell): 409.3
ΔE_f (eV/atom): -0.058

---

Density functional theory data (PBE) for crystalline Ca2Zn2PdAu5 at its relaxed geometry.

Lattice parameters (Å, degrees): 3.7800 10.1656 10.1656 90.00 90.00 90.00
Element x y z (fractional)
Zn1 0.0000 0.8760 0.3760
Zn2 0.0000 0.6240 0.8760
Zn3 0.0000 0.3760 0.1240
Zn4 0.0000 0.1240 0.6240
Au1 0.5000 0.0607 0.8021
Au2 0.5000 0.1979 0.0607
Au3 0.5000 0.5607 0.6979
Au4 0.5000 0.9393 0.1979
Au5 0.5000 0.8021 0.9393
Au6 0.5000 0.5000 0.0000
Au7 0.5000 0.6979 0.4393
Au8 0.5000 0.4393 0.3021
Au9 0.5000 0.3021 0.5607
Au10 0.5000 0.0000 0.5000
Ca1 0.0000 0.3236 0.8236
Ca2 0.0000 0.6764 0.1764
Ca3 0.0000 0.8236 0.6764
Ca4 0.0000 0.1764 0.3236
Pd1 0.0000 0.5000 0.5000
Pd2 0.0000 0.0000 0.0000

Uncorrected energy (Ry/atom): -0.242
Volume (Å³ per cell): 390.6
ΔE_f (eV/atom): -0.474

---

Density functional theory data (PBE) for crystalline Ca2Zn4PdAu3 at its relaxed geometry.

Lattice parameters (Å, degrees): 4.3188 4.3188 10.8898 90.00 90.00 90.00
Element x y z (fractional)
Ca1 0.5000 0.0000 0.2575
Ca2 0.0000 0.5000 0.7425
Zn1 0.0000 0.5000 0.3718
Zn2 0.5000 0.0000 0.6282
Zn3 0.5000 0.5000 0.0000
Zn4 0.0000 0.0000 0.0000
Pd1 0.5000 0.5000 0.5000
Au1 0.5000 0.0000 0.8602
Au2 0.0000 0.5000 0.1398
Au3 0.0000 0.0000 0.5000

Uncorrected energy (Ry/atom): -0.215
Volume (Å³ per cell): 203.1
ΔE_f (eV/atom): -0.511

---

Density functional theory data (PBE) for crystalline Ca2ZnPd2Au5 at its relaxed geometry.

Lattice parameters (Å, degrees): 4.0793 9.8638 9.8638 90.00 90.00 90.00
Element x y z (fractional)
Au1 0.5000 0.1959 0.0587
Au2 0.5000 0.0000 0.5000
Au3 0.5000 0.3041 0.5587
Au4 0.5000 0.0587 0.8041
Au5 0.5000 0.5000 0.0000
Au6 0.5000 0.9413 0.1959
Au7 0.5000 0.6959 0.4413
Au8 0.5000 0.4413 0.3041
Au9 0.5000 0.5587 0.6959
Au10 0.5000 0.8041 0.9413
Zn1 0.0000 0.0000 0.0000
Zn2 0.0000 0.5000 0.5000
Pd1 0.0000 0.8704 0.3704
Pd2 0.0000 0.6296 0.8704
Pd3 0.0000 0.3704 0.1296
Pd4 0.0000 0.1296 0.6296
Ca1 0.0000 0.6711 0.1711
Ca2 0.0000 0.8289 0.6711
Ca3 0.0000 0.1711 0.3289
Ca4 0.0000 0.3289 0.8289

Uncorrected energy (Ry/atom): -0.273
Volume (Å³ per cell): 396.9
ΔE_f (eV/atom): -0.506

---

Density functional theory data (PBE) for crystalline CaZn4PdAu2 at its relaxed geometry.

Lattice parameters (Å, degrees): 4.6044 4.6044 7.9182 73.10 73.10 60.00
Element x y z (fractional)
Au1 0.7420 0.7420 0.7741
Au2 0.2580 0.2580 0.2259
Pd1 0.5000 0.5000 0.5000
Zn1 0.1382 0.1382 0.5854
Zn2 0.3869 0.3869 0.8393
Zn3 0.8618 0.8618 0.4146
Zn4 0.6131 0.6131 0.1607
Ca1 0.0000 0.0000 0.0000

Uncorrected energy (Ry/atom): -0.201
Volume (Å³ per cell): 136.9
ΔE_f (eV/atom): -0.376

---

Density functional theory data (PBE) for crystalline Ca2ZnPdAu6 at its relaxed geometry.

Lattice parameters (Å, degrees): 7.0513 7.0513 7.0513 60.00 60.00 90.00
Element x y z (fractional)
Au1 0.2561 0.2561 0.4877
Au2 0.2562 0.2562 0.0000
Au3 0.7438 0.7438 0.0000
Au4 0.7439 0.7439 0.5123
Au5 0.2561 0.7439 0.0000
Au6 0.7439 0.2561 0.0000
Ca1 0.2500 0.7500 0.5000
Ca2 0.7500 0.2500 0.5000
Zn1 0.5000 0.5000 0.0000
Pd1 0.0000 0.0000 0.0000

Uncorrected energy (Ry/atom): -0.234
Volume (Å³ per cell): 247.9
ΔE_f (eV/atom): -0.172

---

Density functional theory data (PBE) for crystalline Ca2ZnPd5Au2 at its relaxed geometry.

Lattice parameters (Å, degrees): 3.9818 9.7809 9.7809 90.00 90.00 90.00
Element x y z (fractional)
Pd1 0.5000 0.9419 0.1907
Pd2 0.5000 0.0000 0.5000
Pd3 0.5000 0.0581 0.8093
Pd4 0.5000 0.4419 0.3093
Pd5 0.5000 0.5000 0.0000
Pd6 0.5000 0.5581 0.6907
Pd7 0.5000 0.8093 0.9419
Pd8 0.5000 0.6907 0.4419
Pd9 0.5000 0.3093 0.5581
Pd10 0.5000 0.1907 0.0581
Au1 0.0000 0.6305 0.8695
Au2 0.0000 0.3695 0.1305
Au3 0.0000 0.1305 0.6305
Au4 0.0000 0.8695 0.3695
Ca1 0.0000 0.6692 0.1692
Ca2 0.0000 0.3308 0.8308
Ca3 0.0000 0.8308 0.6692
Ca4 0.0000 0.1692 0.3308
Zn1 0.0000 0.0000 0.0000
Zn2 0.0000 0.5000 0.5000

Uncorrected energy (Ry/atom): -0.315
Volume (Å³ per cell): 380.9
ΔE_f (eV/atom): -0.505

---

Density functional theory data (PBE) for crystalline Ca2Zn5Pd2Au at its relaxed geometry.

Lattice parameters (Å, degrees): 4.0744 9.5798 9.5798 90.00 90.00 90.00
Element x y z (fractional)
Zn1 0.5000 0.9431 0.2012
Zn2 0.5000 0.0569 0.7988
Zn3 0.5000 0.5569 0.7012
Zn4 0.5000 0.7012 0.4431
Zn5 0.5000 0.7988 0.9431
Zn6 0.5000 0.4431 0.2988
Zn7 0.5000 0.5000 0.0000
Zn8 0.5000 0.2988 0.5569
Zn9 0.5000 0.2012 0.0569
Zn10 0.5000 0.0000 0.5000
Pd1 0.0000 0.8845 0.3845
Pd2 0.0000 0.6155 0.8845
Pd3 0.0000 0.1155 0.6155
Pd4 0.0000 0.3845 0.1155
Ca1 0.0000 0.8192 0.6808
Ca2 0.0000 0.1808 0.3192
Ca3 0.0000 0.3192 0.8192
Ca4 0.0000 0.6808 0.1808
Au1 0.0000 0.0000 0.0000
Au2 0.0000 0.5000 0.5000

Uncorrected energy (Ry/atom): -0.207
Volume (Å³ per cell): 373.9
ΔE_f (eV/atom): -0.409

---

Density functional theory data (PBE) for crystalline Ca2PmAu2 at its relaxed geometry.

Lattice parameters (Å, degrees): 5.0522 5.1850 10.9622 89.99 90.00 90.00
Element x y z (fractional)
Au1 0.7500 0.7500 0.5088
Au2 0.2500 0.2500 0.4912
Au3 0.7500 0.7499 0.1676
Au4 0.2500 0.2501 0.8324
Ca1 0.7500 0.2500 0.0013
Ca2 0.2500 0.7500 0.9987
Ca3 0.2500 0.7500 0.6713
Ca4 0.7500 0.2500 0.3287
Pm1 0.2500 0.7500 0.3386
Pm2 0.7500 0.2500 0.6614

Uncorrected energy (Ry/atom): -0.271
Volume (Å³ per cell): 287.2
ΔE_f (eV/atom): -0.632
Polymorph energy (0 for the lowest one) (eV per atom): 0.000

---

The lowest uncorrected energy belongs to which entry?
CaYPdAu

---

Which formula does entry 1 have?
CaYPdAu